Crystalline Np3Tl4SbSe8 at its relaxed geometry. Source: the Alexandria database, functional GGA-PBE.

extended XYZ file:
```
16
Lattice="4.240 2.448 7.717 -4.240 2.448 7.717 0.000 -4.895 7.717" Properties=species:S:1:pos:R:3 pbc="T T T"
Np -2.120 -1.224 7.717
Np -2.120 1.224 15.435
Np 0.000 2.448 7.717
Tl -4.240 0.000 11.576
Tl -2.120 1.224 3.859
Tl 2.120 1.224 3.859
Tl 0.000 0.000 11.576
Sb 0.000 0.000 0.000
Se 0.000 -2.439 9.296
Se -2.112 1.220 9.296
Se 0.000 0.000 6.156
Se -2.112 -1.220 13.856
Se 2.112 1.220 9.296
Se 0.000 0.000 16.997
Se 2.112 -1.220 13.856
Se 0.000 2.439 13.856
```

**V**: 30.03 Å³/atom
**Space group**: R-3m (166)
**Raw total energy**: -92.381 eV for the cell shown
**Raw formation energy**: -0.76 eV/atom


Crystalline Np3Tl3SbSe8 at its relaxed geometry. Source: the Alexandria database, functional GGA-PBE.

extended XYZ file:
```
15
Lattice="4.196 2.423 7.768 -4.196 2.423 7.768 0.000 -4.845 7.768" Properties=species:S:1:pos:R:3 pbc="T T T"
Np -2.098 -1.211 7.768
Np -2.098 1.211 15.537
Np 0.000 2.423 7.768
Tl -4.196 0.000 11.652
Tl -2.098 1.211 3.884
Tl 2.098 1.211 3.884
Sb 0.000 0.000 0.000
Se 0.000 -2.390 9.332
Se -2.070 1.195 9.332
Se 0.000 0.000 6.189
Se -2.070 -1.195 13.973
Se 2.070 1.195 9.332
Se 0.000 0.000 17.116
Se 2.070 -1.195 13.973
Se 0.000 2.390 13.973
```

**V**: 31.59 Å³/atom
**Space group**: R-3m (166)
**Raw total energy**: -89.882 eV for the cell shown
**Raw formation energy**: -0.80 eV/atom


Crystalline NpTl2SbSe4 at its relaxed geometry. Source: the Alexandria database, functional GGA-PBE.

extended XYZ file:
```
8
Lattice="7.369 0.000 0.000 0.000 4.249 0.000 -2.436 0.000 7.669" Properties=species:S:1:pos:R:3 pbc="T T T"
Np 0.000 0.000 0.000
Tl -1.218 2.125 3.834
Tl 2.467 0.000 3.834
Sb 3.684 2.125 0.000
Se 1.215 2.125 1.567
Se 0.016 0.000 6.082
Se 4.917 0.000 1.587
Se 3.718 2.125 6.102
```

**V**: 30.01 Å³/atom
**Space group**: P2/m (10)
**Raw total energy**: -40.672 eV for the cell shown
**Raw formation energy**: -0.62 eV/atom


Crystalline NpSiSb2 at its relaxed geometry. Source: the Alexandria database, functional GGA-PBE.

extended XYZ file:
```
4
Lattice="1.786 1.031 9.779 -1.786 1.031 9.779 0.000 -2.063 9.779" Properties=species:S:1:pos:R:3 pbc="T T T"
Np 0.000 0.000 0.000
Si 0.000 0.000 14.668
Sb 0.000 0.000 3.117
Sb 0.000 0.000 26.220
```

**V**: 27.03 Å³/atom
**Space group**: R-3m (166)
**Raw total energy**: -24.423 eV for the cell shown
**Energy relative to the lowest polymorph listed for this composition**: 575 meV/atom
**Raw formation energy**: 0.55 eV/atom


Crystalline NpSiSb at its relaxed geometry. Source: the Alexandria database, functional GGA-PBE.

extended XYZ file:
```
6
Lattice="1.790 1.034 12.884 -1.790 1.034 12.884 0.000 -2.067 12.884" Properties=species:S:1:pos:R:3 pbc="T T T"
Np 0.000 0.000 3.804
Np 0.000 0.000 34.847
Si 0.000 0.000 6.983
Si 0.000 0.000 31.669
Sb 0.000 0.000 14.214
Sb 0.000 0.000 24.438
```

**V**: 23.84 Å³/atom
**Space group**: R-3m (166)
**Raw total energy**: -44.491 eV for the cell shown
**Energy relative to the lowest polymorph listed for this composition**: 294 meV/atom
**Raw formation energy**: 0.08 eV/atom


Crystalline NpSiSb at its relaxed geometry. Source: the Alexandria database, functional GGA-PBE.

extended XYZ file:
```
6
Lattice="2.199 -7.737 0.000 2.199 7.737 0.000 0.000 0.000 3.965" Properties=species:S:1:pos:R:3 pbc="T T T"
Np 2.199 6.341 2.974
Np 2.199 -6.341 0.991
Si 2.199 0.742 2.974
Si 2.199 -0.742 0.991
Sb 2.199 3.810 0.991
Sb 2.199 -3.810 2.974
```

**V**: 22.49 Å³/atom
**Space group**: Cmcm (63)
**Raw total energy**: -46.256 eV for the cell shown
**Energy relative to the lowest polymorph listed for this composition**: 0 meV/atom
**Raw formation energy**: -0.21 eV/atom


Crystalline NpSiSb2 at its relaxed geometry. Source: the Alexandria database, functional GGA-PBE.

extended XYZ file:
```
4
Lattice="4.483 0.000 0.000 0.000 4.483 0.000 0.000 0.000 4.511" Properties=species:S:1:pos:R:3 pbc="T T T"
Np 0.000 0.000 0.000
Si 2.241 2.241 0.000
Sb 0.000 2.241 2.256
Sb 2.241 0.000 2.256
```

**V**: 22.66 Å³/atom
**Space group**: P4/mmm (123)
**Raw total energy**: -26.722 eV for the cell shown
**Energy relative to the lowest polymorph listed for this composition**: 0 meV/atom
**Raw formation energy**: -0.03 eV/atom


Crystalline Np2SiSb at its relaxed geometry. Source: the Alexandria database, functional GGA-PBE.

extended XYZ file:
```
4
Lattice="3.908 0.000 0.000 0.000 3.908 0.000 0.000 0.000 5.853" Properties=species:S:1:pos:R:3 pbc="T T T"
Np 0.000 0.000 1.335
Np 0.000 0.000 4.519
Si 1.954 1.954 0.000
Sb 1.954 1.954 2.927
```

**V**: 22.35 Å³/atom
**Space group**: P4/mmm (123)
**Raw total energy**: -36.194 eV for the cell shown
**Raw formation energy**: -0.19 eV/atom


Crystalline SmNpSb2 at its relaxed geometry. Source: the Alexandria database, functional GGA-PBE.

extended XYZ file:
```
8
Lattice="-3.134 3.134 6.270 3.134 -3.134 6.270 3.134 3.134 -6.270" Properties=species:S:1:pos:R:3 pbc="T T T"
Sm 3.134 1.567 1.567
Sm 0.000 1.567 4.702
Np 3.134 -1.567 4.702
Np 0.000 4.702 1.567
Sb 3.134 1.567 -1.607
Sb 0.000 1.567 1.528
Sb 3.134 1.567 4.741
Sb 0.000 1.567 7.876
```

**V**: 30.80 Å³/atom
**Space group**: I4_1/amd (141)
**Raw total energy**: -57.249 eV for the cell shown
**Energy relative to the lowest polymorph listed for this composition**: 0 meV/atom
**Raw formation energy**: -0.68 eV/atom


Crystalline SmNpSb2 at its relaxed geometry. Source: the Alexandria database, functional GGA-PBE.

extended XYZ file:
```
4
Lattice="2.196 1.268 7.534 -2.196 1.268 7.534 0.000 -2.536 7.534" Properties=species:S:1:pos:R:3 pbc="T T T"
Sm 0.000 0.000 0.000
Np 0.000 0.000 3.863
Sb 0.000 0.000 13.163
Sb 0.000 0.000 17.065
```

**V**: 31.47 Å³/atom
**Space group**: R3m (160)
**Raw total energy**: -28.196 eV for the cell shown
**Energy relative to the lowest polymorph listed for this composition**: 107 meV/atom
**Raw formation energy**: -0.57 eV/atom


Crystalline Sm3NpSb4 at its relaxed geometry. Source: the Alexandria database, functional GGA-PBE.

extended XYZ file:
```
16
Lattice="7.715 0.000 0.000 0.000 8.915 0.000 -2.573 0.000 7.268" Properties=species:S:1:pos:R:3 pbc="T T T"
Sm -0.643 1.105 1.817
Sm -1.930 3.333 5.451
Sm -0.643 5.582 1.817
Sm -1.930 7.810 5.451
Sm 1.928 1.110 5.451
Sm 3.214 7.805 1.817
Np 3.214 3.342 1.817
Np 1.928 5.573 5.451
Sb 1.935 1.135 0.020
Sb 0.648 7.780 3.654
Sb 0.677 3.363 3.629
Sb -0.609 5.552 7.263
Sb 5.751 3.363 0.005
Sb 4.465 5.552 3.639
Sb 4.494 1.135 3.614
Sb 3.207 7.780 7.247
```

**V**: 31.24 Å³/atom
**Space group**: P2/c (13)
**Raw total energy**: -101.992 eV for the cell shown
**Raw formation energy**: -0.93 eV/atom


Crystalline Sm5NpSb6 at its relaxed geometry. Source: the Alexandria database, functional GGA-PBE.

extended XYZ file:
```
12
Lattice="3.862 -6.690 0.000 3.862 6.690 0.000 -2.576 0.000 7.285" Properties=species:S:1:pos:R:3 pbc="T T T"
Sm 0.000 0.000 0.000
Sm 2.574 4.465 3.643
Sm 3.862 2.248 0.000
Sm 3.862 -2.248 0.000
Sm 2.574 -4.465 3.643
Np 2.574 0.000 3.643
Sb 1.302 2.205 1.836
Sb 0.029 0.000 5.450
Sb 1.302 -2.205 1.836
Sb 3.846 2.205 5.449
Sb 5.118 0.000 1.835
Sb 3.846 -2.205 5.449
```

**V**: 31.37 Å³/atom
**Space group**: C2/m (12)
**Raw total energy**: -73.387 eV for the cell shown
**Raw formation energy**: -1.01 eV/atom